Record 1
{"formula": "Nb3SbS8", "functional": "GGA-PBE", "state": "optimized geometry", "cell": [[6.976, 0.000, 0.000], [-3.488, 6.042, 0.000], [0.000, 0.000, 13.067]], "species": ["Nb", "Nb", "Nb", "Nb", "Nb", "Nb", "Sb", "Sb", "S", "S", "S", "S", "S", "S", "S", "S", "S", "S", "S", "S", "S", "S", "S", "S"], "frac_coords": [[0.163, 0.327, 0.000], [0.163, 0.837, 0.000], [0.327, 0.163, 0.500], [0.673, 0.837, 0.000], [0.837, 0.163, 0.500], [0.837, 0.673, 0.500], [0.333, 0.667, 0.238], [0.667, 0.333, 0.738], [0.000, 0.000, 0.117], [0.000, 0.000, 0.617], [0.001, 0.501, 0.617], [0.165, 0.329, 0.394], [0.165, 0.835, 0.394], [0.329, 0.165, 0.894], [0.333, 0.667, 0.889], [0.499, 0.501, 0.617], [0.499, 0.999, 0.617], [0.501, 0.001, 0.117], [0.501, 0.499, 0.117], [0.667, 0.333, 0.389], [0.671, 0.835, 0.394], [0.835, 0.165, 0.894], [0.835, 0.671, 0.894], [0.999, 0.499, 0.117]], "energy_ev_per_atom": -6.358, "spacegroup": "P6_3mc"}

=====

Record 2
{"formula": "AcZnF5", "functional": "GGA-PBE", "state": "optimized geometry", "cell": [[4.617, -3.307, 0.000], [4.617, 3.307, 0.000], [-3.226, 0.000, 7.740]], "species": ["Ac", "Ac", "Zn", "Zn", "F", "F", "F", "F", "F", "F", "F", "F", "F", "F"], "frac_coords": [[0.049, 0.951, 0.750], [0.951, 0.049, 0.250], [0.500, 0.500, 0.000], [0.500, 0.500, 0.500], [0.144, 0.756, 0.008], [0.203, 0.353, 0.383], [0.244, 0.856, 0.492], [0.353, 0.203, 0.883], [0.424, 0.576, 0.750], [0.576, 0.424, 0.250], [0.647, 0.797, 0.117], [0.756, 0.144, 0.508], [0.797, 0.647, 0.617], [0.856, 0.244, 0.992]], "energy_ev_per_atom": -5.437, "spacegroup": "C2/c"}